Entry 1:
The following is a GGA-PBEsol calculation of a geometry-optimized Ba2SrAu structure, from Alexandria via LeMat-Bulk.

The space group is P4mm (No. 99) and the conventional cell measures 3.973, 3.973 and 10.482 Å, with angles of 90.00, 90.00 and 90.00 degrees. The inequivalent atoms are Ba at (0.000, 0.000, 0.000), Ba at (0.500, 0.500, 0.337), Sr at (0.500, 0.500, 0.680) and Au at (0.000, 0.000, 0.519).

As for the total energy: -11.392 eV/f.u. The calculation puts the formation energy at -0.33 eV per atom. The value obtained for the theoretical density is 5.6 g cm⁻³.

---

Entry 2:
The following is a GGA-PBEsol calculation of a geometry-optimized ZrReRh2 structure, from Alexandria via LeMat-Bulk.

The space group is R3m (No. 160, hexagonal axes) and the conventional cell measures 2.7669, 2.7669 and 27.7940 Å, with angles of 90.00, 90.00 and 120.00 degrees. The inequivalent atoms are Zr at (0.0000, 0.0000, 0.0000), Re at (0.0000, 0.0000, 0.2397), Rh at (0.0000, 0.0000, 0.4985) and Rh at (0.0000, 0.0000, 0.7507).

As for the total energy: -38.641 eV/f.u. The calculation puts the formation energy at 0.01 eV per atom. The value obtained for the theoretical density is 13.1 g cm⁻³.

---

Entry 3:
The following is a GGA-PBEsol calculation of a geometry-optimized Li2AlIr structure, from Alexandria via LeMat-Bulk.

The space group is P4mm (No. 99) and the conventional cell measures 3.048, 3.048 and 6.067 Å, with angles of 90.00, 90.00 and 90.00 degrees. The inequivalent atoms are Li at (0.000, 0.000, 0.000), Li at (0.500, 0.500, 0.263), Al at (0.000, 0.000, 0.555) and Ir at (0.500, 0.500, 0.761).

As for the total energy: -19.235 eV/f.u. The calculation puts the formation energy at -0.35 eV per atom. The value obtained for the theoretical density is 6.9 g cm⁻³.